# Nb2HgRu

A relaxed structure of Nb2HgRu (PBE, Alexandria via LeMat-Bulk).

Structure (POSCAR):
```
Nb2HgRu
1.0
-3.745 3.745 2.767
3.745 -3.745 2.767
3.745 3.745 -2.767
Nb Hg Ru
4 2 2
Direct
0.077 0.625 0.952
0.375 0.327 0.452
0.673 0.125 0.048
0.875 0.923 0.548
0.250 0.750 0.500
0.500 0.500 0.000
0.000 0.000 0.000
0.750 0.250 0.500
```

Summary:
energy above the most stable polymorph in this dataset = 86.9 meV per atom
energy of formation = 416 meV per atom